VASP calculation (PBE) on a relaxed Li2NdCd crystal.

Geometry as POSCAR:
```
Li2NdCd
1.0
7.068 0.000 0.000
0.000 7.068 0.000
0.000 0.000 7.068
Li Nd Cd
8 4 4
Direct
0.250 0.250 0.250
0.250 0.250 0.750
0.250 0.750 0.250
0.250 0.750 0.750
0.750 0.250 0.250
0.750 0.250 0.750
0.750 0.750 0.250
0.750 0.750 0.750
0.000 0.000 0.000
0.000 0.500 0.500
0.500 0.000 0.500
0.500 0.500 0.000
0.000 0.000 0.500
0.000 0.500 0.000
0.500 0.000 0.000
0.500 0.500 0.500
```

Computed properties:
density of states at the Fermi level: 17.30 states/eV per cell
energy relative to the lowest polymorph listed for this composition: 9.2 meV per atom
E_form: -2.3 kcal/mol of atoms